[1]
Material: Tb8Pr3Ho4
Method: DFT, PBE
State: relaxed

V   506.18 Å³ per cell
Magnetization   0.00 Bohr magnetons per cell
Energy   -4.26 eV per atom
Crystal system   monoclinic

Cell: 6.7761 9.3068 9.3068 Å, 86.96 111.46 111.46°
Closest atoms and distances in Å follow each position.
Fractional coordinates of all 15 atoms:
1 Tb 0.5545 0.2717 0.2717  3 Pr 3.22-3.29, 4 Tb 3.24-3.55, 1 Ho 3.50
2 Tb 0.0000 0.6430 0.3570  7 Tb 3.55-3.83, 4 Pr 3.64-3.85, 2 Ho 3.64
3 Tb 0.0145 0.2549 0.2549  4 Ho 3.20-3.45, 2 Tb 3.24-3.55, 1 Pr 3.29
4 Tb 0.5000 0.7481 0.2519  3 Pr 3.18-3.38, 3 Ho 3.23-3.37
5 Tb 0.5000 0.2519 0.7481  3 Pr 3.18-3.38, 3 Ho 3.23-3.37
6 Tb 0.9855 0.7451 0.7451  4 Ho 3.20-3.45, 2 Tb 3.24-3.55, 1 Pr 3.29
7 Tb 0.0000 0.3570 0.6430  7 Tb 3.55-3.83, 4 Pr 3.64-3.85, 2 Ho 3.64
8 Tb 0.4455 0.7283 0.7283  3 Pr 3.22-3.29, 4 Tb 3.24-3.55, 1 Ho 3.50
9 Pr 0.5000 0.5000 0.0000  4 Tb 3.22-3.38, 2 Ho 3.39
10 Pr 0.5000 0.0000 0.5000  4 Tb 3.22-3.38, 2 Ho 3.39
11 Pr 0.5000 0.5000 0.5000  6 Tb 3.18-3.29
12 Ho 0.5000 0.0000 0.0000  6 Tb 3.23-3.50, 2 Ho 3.39
13 Ho 0.0000 0.5000 0.0000  4 Tb 3.20-3.37, 2 Pr 3.39
14 Ho 0.0000 0.0000 0.0000  2 Ho 3.39, 4 Tb 3.39-3.70
15 Ho 0.0000 0.0000 0.5000  4 Tb 3.20-3.37, 2 Pr 3.39


[2]
Material: Li2Br
Method: DFT, PBE
State: relaxed

V   275.48 Å³ per cell
Magnetization   0.00 Bohr magnetons per cell
Uncorrected formation energy   -860 meV/atom
Crystal system   orthorhombic

Cell: 3.7058 6.6663 11.1513 Å, 90.00 90.00 90.00°
Closest atoms and distances in Å follow each position.
Fractional coordinates of all 12 atoms:
1 Br 0.2500 0.4746 0.3160  6 Li 2.61-2.73
2 Br 0.7500 0.0254 0.8160  6 Li 2.61-2.73
3 Br 0.2500 0.9746 0.1840  6 Li 2.61-2.73
4 Br 0.7500 0.5254 0.6840  6 Li 2.61-2.73
5 Li 0.2500 0.2266 0.6817  4 Br 2.72-2.73
6 Li 0.7500 0.2734 0.1817  4 Br 2.72-2.73
7 Li 0.2500 0.7266 0.8183  4 Br 2.72-2.73
8 Li 0.7500 0.7734 0.3183  4 Br 2.72-2.73
9 Li 0.2500 0.1159 0.4105  2 Br 2.61-2.70
10 Li 0.7500 0.3841 0.9105  2 Br 2.61-2.70
11 Li 0.2500 0.6159 0.0895  2 Br 2.61-2.70
12 Li 0.7500 0.8841 0.5895  2 Br 2.61-2.70